The following is a GGA-PBE calculation of a geometry-optimized LaPrOs structure, from Alexandria via LeMat-Bulk.

Lattice parameters (Å, degrees): 3.523 3.523 14.265 90.00 90.00 90.00
Atoms (fractional coordinates):
La 0.000 0.000 0.000
La 0.500 0.500 0.500
Pr 0.000 0.000 0.757
Pr 0.500 0.500 0.257
Os 0.000 0.000 0.379
Os 0.500 0.500 0.879

Calculated values
symmetry = I4mm (107)
DOS at the Fermi energy = 2.00 states/eV/f.u.
polymorph energy (0 for the lowest one) = 49 meV per atom
formation energy = -0.019 eV/atom



The following is a GGA-PBE calculation of a geometry-optimized LaPrOs4 structure, from Alexandria via LeMat-Bulk.

Lattice parameters (Å, degrees): 5.474 5.474 5.474 60.00 60.00 60.00
Atoms (fractional coordinates):
La 0.000 0.000 0.000
Pr 0.750 0.750 0.750
Os 0.375 0.375 0.375
Os 0.375 0.375 0.875
Os 0.375 0.875 0.375
Os 0.875 0.375 0.375

Calculated values
symmetry = F-43m (216)
DOS at the Fermi energy = 8.26 states/eV/f.u.
formation energy = -0.028 eV/atom



The following is a GGA-PBE calculation of a geometry-optimized La2Pr3Os2 structure, from Alexandria via LeMat-Bulk.

Lattice parameters (Å, degrees): 12.579 4.040 9.005 90.00 113.29 90.00
Atoms (fractional coordinates):
La 0.171 0.000 0.306
La 0.329 0.500 0.694
La 0.671 0.500 0.306
La 0.829 0.000 0.694
Pr 0.000 0.500 0.500
Pr 0.122 0.500 0.920
Pr 0.378 0.000 0.080
Pr 0.500 0.000 0.500
Pr 0.622 0.000 0.920
Pr 0.878 0.500 0.080
Os 0.184 0.000 0.727
Os 0.316 0.500 0.273
Os 0.684 0.500 0.727
Os 0.816 0.000 0.273

Calculated values
symmetry = C2/m (12)
DOS at the Fermi energy = 5.58 states/eV/f.u.
formation energy = -0.095 eV/atom



The following is a GGA-PBE calculation of a geometry-optimized La3PrOs structure, from Alexandria via LeMat-Bulk.

Lattice parameters (Å, degrees): 6.292 8.956 6.301 90.00 103.36 90.00
Atoms (fractional coordinates):
La 0.214 0.250 0.285
La 0.273 0.000 0.773
La 0.273 0.500 0.773
La 0.727 0.000 0.227
La 0.727 0.500 0.227
La 0.786 0.750 0.715
Pr 0.214 0.750 0.284
Pr 0.786 0.250 0.716
Os 0.495 0.250 0.004
Os 0.505 0.750 0.996

Calculated values
symmetry = P2_1/m (11)
DOS at the Fermi energy = 6.17 states/eV/f.u.
polymorph energy (0 for the lowest one) = 0 meV per atom
formation energy = -0.064 eV/atom



The following is a GGA-PBE calculation of a geometry-optimized LaPrOs structure, from Alexandria via LeMat-Bulk.

Lattice parameters (Å, degrees): 7.037 7.037 7.037 90.00 90.00 90.00
Atoms (fractional coordinates):
La 0.000 0.000 0.000
La 0.000 0.500 0.500
La 0.500 0.000 0.500
La 0.500 0.500 0.000
Pr 0.000 0.000 0.500
Pr 0.000 0.500 0.000
Pr 0.500 0.000 0.000
Pr 0.500 0.500 0.500
Os 0.250 0.250 0.250
Os 0.250 0.750 0.750
Os 0.750 0.250 0.750
Os 0.750 0.750 0.250

Calculated values
symmetry = F-43m (216)
DOS at the Fermi energy = 2.53 states/eV/f.u.
polymorph energy (0 for the lowest one) = 0 meV per atom
formation energy = -0.068 eV/atom



The following is a GGA-PBE calculation of a geometry-optimized LaPrOs structure, from Alexandria via LeMat-Bulk.

Lattice parameters (Å, degrees): 4.254 4.254 6.285 90.00 90.00 120.00
Atoms (fractional coordinates):
La 0.000 0.000 0.000
Pr 0.667 0.333 0.538
Os 0.333 0.667 0.777

Calculated values
symmetry = P3m1 (156)
DOS at the Fermi energy = 1.11 states/eV/f.u.
polymorph energy (0 for the lowest one) = 73 meV per atom
formation energy = 0.005 eV/atom